*a*
Here is a geometry-optimized Mo5C structure from Alexandria. Energies are from PBE-GGA.

Values from the calculation:
space-group type: P-62m

Lattice parameters (Å, degrees): 4.878 4.878 4.219 90.00 90.00 120.00
Fractional coordinates of all 6 atoms:
C (0.000, 0.000, 0.500)
Mo (0.667, 0.333, 0.500)
Mo (0.686, 0.000, 0.000)
Mo (0.000, 0.686, 0.000)
Mo (0.333, 0.667, 0.500)
Mo (0.314, 0.314, 0.000)

*b*
Here is a geometry-optimized Mo5C structure from Alexandria. Energies are from PBE-GGA.

Values from the calculation:
space-group type: Cmmm

Lattice parameters (Å, degrees): 6.217 6.217 4.720 90.00 90.00 151.16
Fractional coordinates of all 6 atoms:
C (0.500, 0.500, 0.000)
Mo (0.000, 0.000, 0.500)
Mo (0.333, 0.667, 0.500)
Mo (0.128, 0.872, 0.000)
Mo (0.667, 0.333, 0.500)
Mo (0.872, 0.128, 0.000)

*c*
Here is a geometry-optimized Mo5C structure from Alexandria. Energies are from PBE-GGA.

Values from the calculation:
space-group type: P6/mmm

Lattice parameters (Å, degrees): 4.936 4.936 4.834 90.00 90.00 120.00
Fractional coordinates of all 6 atoms:
Mo (0.500, 0.000, 0.500)
Mo (0.667, 0.333, 0.000)
Mo (0.000, 0.500, 0.500)
Mo (0.333, 0.667, 0.000)
Mo (0.500, 0.500, 0.500)
C (0.000, 0.000, 0.000)

*d*
Here is a geometry-optimized Mo5C structure from Alexandria. Energies are from PBE-GGA.

Values from the calculation:
space-group type: Cm

Lattice parameters (Å, degrees): 5.324 5.324 6.113 65.12 65.12 34.21
Fractional coordinates of all 6 atoms:
Mo (0.713, 0.713, 0.133)
Mo (0.356, 0.356, 0.779)
Mo (0.657, 0.657, 0.696)
Mo (0.036, 0.036, 0.454)
Mo (0.418, 0.418, 0.202)
C (0.987, 0.987, 0.902)

Least stable structure: *c*

*a*
Here is a geometry-optimized Mo5C structure from Alexandria. Energies are from PBE-GGA.

Values from the calculation:
space-group type: P4/mmm

Lattice parameters (Å, degrees): 2.689 2.689 11.906 90.00 90.00 90.00
Fractional coordinates of all 6 atoms:
Mo (0.500, 0.500, 0.694)
Mo (0.000, 0.000, 0.109)
Mo (0.000, 0.000, 0.500)
Mo (0.500, 0.500, 0.306)
Mo (0.000, 0.000, 0.891)
C (0.500, 0.500, 0.000)

*b*
Here is a geometry-optimized Mo5C structure from Alexandria. Energies are from PBE-GGA.

Values from the calculation:
space-group type: F-43m

Lattice parameters (Å, degrees): 5.140 5.140 5.140 60.00 60.00 60.00
Fractional coordinates of all 6 atoms:
Mo (0.250, 0.250, 0.250)
Mo (0.626, 0.123, 0.626)
Mo (0.626, 0.626, 0.123)
Mo (0.123, 0.626, 0.626)
Mo (0.626, 0.626, 0.626)
C (0.000, 0.000, 0.000)

Least stable structure: *b*

*a*
Here is a geometry-optimized Mo5C4 structure from Alexandria. Energies are from PBE-GGA.

Values from the calculation:
space-group type: P6_3/mcm

Lattice parameters (Å, degrees): 6.358 6.358 5.646 90.00 90.00 120.00
Fractional coordinates of all 18 atoms:
Mo (0.000, 0.750, 0.250)
Mo (0.250, 0.000, 0.750)
Mo (0.333, 0.667, 0.000)
Mo (0.000, 0.250, 0.750)
Mo (0.667, 0.333, 0.000)
Mo (0.750, 0.000, 0.250)
Mo (0.750, 0.750, 0.750)
Mo (0.250, 0.250, 0.250)
Mo (0.333, 0.667, 0.500)
Mo (0.667, 0.333, 0.500)
C (0.000, 0.589, 0.750)
C (0.000, 0.000, 0.000)
C (0.589, 0.589, 0.250)
C (0.411, 0.411, 0.750)
C (0.589, 0.000, 0.750)
C (0.411, 0.000, 0.250)
C (0.000, 0.000, 0.500)
C (0.000, 0.411, 0.250)

*b*
Here is a geometry-optimized Mo5C4 structure from Alexandria. Energies are from PBE-GGA.

Values from the calculation:
space-group type: I4/mmm

Lattice parameters (Å, degrees): 7.090 7.090 7.090 92.42 92.42 156.30
Fractional coordinates of all 9 atoms:
Mo (0.339, 0.339, 0.677)
Mo (0.000, 0.000, 0.000)
Mo (0.661, 0.661, 0.323)
Mo (0.661, 0.339, 0.000)
Mo (0.339, 0.661, 0.000)
C (0.216, 0.000, 0.216)
C (0.784, 0.000, 0.784)
C (0.000, 0.216, 0.216)
C (0.000, 0.784, 0.784)

Least stable structure: *b*

*a*
Here is a geometry-optimized Mo2C3N6 structure from Alexandria. Energies are from PBE-GGA.

Values from the calculation:
space-group type: C2/m

Lattice parameters (Å, degrees): 6.887 3.126 5.168 90.00 82.46 76.88
Fractional coordinates of all 11 atoms:
N (0.021, 0.989, 0.257)
N (0.611, 0.694, 0.830)
N (0.389, 0.306, 0.170)
N (0.686, 0.657, 0.348)
N (0.979, 0.011, 0.743)
N (0.314, 0.343, 0.652)
Mo (0.739, 0.130, 0.060)
Mo (0.261, 0.870, 0.940)
C (0.655, 0.672, 0.585)
C (0.345, 0.328, 0.415)
C (0.000, 0.000, 0.500)

*b*
Here is a geometry-optimized Mo2C3N6 structure from Alexandria. Energies are from PBE-GGA.

Values from the calculation:
space-group type: R-3c

Lattice parameters (Å, degrees): 10.673 10.673 10.673 27.78 27.78 27.78
Fractional coordinates of all 22 atoms:
N (0.049, 0.387, 0.694)
N (0.694, 0.049, 0.387)
N (0.387, 0.694, 0.049)
N (0.951, 0.613, 0.306)
N (0.806, 0.113, 0.451)
N (0.887, 0.549, 0.194)
N (0.451, 0.806, 0.113)
N (0.549, 0.194, 0.887)
N (0.194, 0.887, 0.549)
N (0.113, 0.451, 0.806)
N (0.306, 0.951, 0.613)
N (0.613, 0.306, 0.951)
C (0.415, 0.750, 0.085)
C (0.915, 0.585, 0.250)
C (0.585, 0.250, 0.915)
C (0.085, 0.415, 0.750)
C (0.750, 0.085, 0.415)
C (0.250, 0.915, 0.585)
Mo (0.333, 0.333, 0.333)
Mo (0.667, 0.667, 0.667)
Mo (0.167, 0.167, 0.167)
Mo (0.833, 0.833, 0.833)

Least stable structure: *a*

*a*
Here is a geometry-optimized MoC3N structure from Alexandria. Energies are from PBE-GGA.

Values from the calculation:
space-group type: Pm-3m

Lattice parameters (Å, degrees): 3.445 3.445 3.445 90.00 90.00 90.00
Fractional coordinates of all 5 atoms:
C (0.000, 0.500, 0.000)
C (0.500, 0.000, 0.000)
C (0.000, 0.000, 0.500)
Mo (0.500, 0.500, 0.500)
N (0.000, 0.000, 0.000)

*b*
Here is a geometry-optimized MoC3N structure from Alexandria. Energies are from PBE-GGA.

Values from the calculation:
space-group type: Pm-3m

Lattice parameters (Å, degrees): 4.111 4.111 4.111 90.00 90.00 90.00
Fractional coordinates of all 5 atoms:
C (0.500, 0.000, 0.000)
C (0.000, 0.500, 0.000)
C (0.000, 0.000, 0.500)
Mo (0.000, 0.000, 0.000)
N (0.500, 0.500, 0.500)

Least stable structure: *b*

*a*
Here is a geometry-optimized MoCSN2 structure from Alexandria. Energies are from PBE-GGA.

Values from the calculation:
space-group type: P4/mmm

Lattice parameters (Å, degrees): 3.602 3.602 3.684 90.00 90.00 90.00
Fractional coordinates of all 5 atoms:
Mo (0.500, 0.500, 0.500)
N (0.000, 0.500, 0.000)
N (0.500, 0.000, 0.000)
S (0.000, 0.000, 0.500)
C (0.000, 0.000, 0.000)

*b*
Here is a geometry-optimized MoCSN2 structure from Alexandria. Energies are from PBE-GGA.

Values from the calculation:
space-group type: P4/mmm

Lattice parameters (Å, degrees): 3.826 3.826 5.101 90.00 90.00 90.00
Fractional coordinates of all 5 atoms:
S (0.000, 0.000, 0.500)
C (0.500, 0.500, 0.500)
Mo (0.000, 0.000, 0.000)
N (0.000, 0.500, 0.000)
N (0.500, 0.000, 0.000)

Least stable structure: *a*

*a*
Here is a geometry-optimized MoCS2N structure from Alexandria. Energies are from PBE-GGA.

Values from the calculation:
space-group type: P4/mmm

Lattice parameters (Å, degrees): 4.770 4.770 3.792 90.00 90.00 90.00
Fractional coordinates of all 5 atoms:
S (0.000, 0.500, 0.000)
S (0.500, 0.000, 0.000)
C (0.500, 0.500, 0.500)
Mo (0.000, 0.000, 0.000)
N (0.000, 0.000, 0.500)

*b*
Here is a geometry-optimized MoCS2N structure from Alexandria. Energies are from PBE-GGA.

Values from the calculation:
space-group type: P4/mmm

Lattice parameters (Å, degrees): 5.300 5.300 2.478 90.00 90.00 90.00
Fractional coordinates of all 5 atoms:
C (0.000, 0.000, 0.000)
Mo (0.500, 0.500, 0.500)
S (0.500, 0.000, 0.000)
S (0.000, 0.500, 0.000)
N (0.000, 0.000, 0.500)

Least stable structure: *a*

*a*
Here is a geometry-optimized Te2MoCN structure from Alexandria. Energies are from PBE-GGA.

Values from the calculation:
space-group type: P4/mmm

Lattice parameters (Å, degrees): 5.352 5.352 3.781 90.00 90.00 90.00
Fractional coordinates of all 5 atoms:
Te (0.000, 0.500, 0.000)
Te (0.500, 0.000, 0.000)
Mo (0.000, 0.000, 0.000)
N (0.000, 0.000, 0.500)
C (0.500, 0.500, 0.500)

*b*
Here is a geometry-optimized Te2MoCN structure from Alexandria. Energies are from PBE-GGA.

Values from the calculation:
space-group type: P4/mmm

Lattice parameters (Å, degrees): 6.053 6.053 2.623 90.00 90.00 90.00
Fractional coordinates of all 5 atoms:
Te (0.000, 0.500, 0.000)
Te (0.500, 0.000, 0.000)
N (0.000, 0.000, 0.500)
Mo (0.500, 0.500, 0.500)
C (0.000, 0.000, 0.000)

Least stable structure: *a*

*a*
Here is a geometry-optimized Na3MoC structure from Alexandria. Energies are from PBE-GGA.

Values from the calculation:
space-group type: Pm-3m

Lattice parameters (Å, degrees): 4.990 4.990 4.990 90.00 90.00 90.00
Fractional coordinates of all 5 atoms:
Na (0.000, 0.500, 0.000)
Na (0.000, 0.000, 0.500)
Na (0.500, 0.000, 0.000)
C (0.000, 0.000, 0.000)
Mo (0.500, 0.500, 0.500)

*b*
Here is a geometry-optimized Na3MoC structure from Alexandria. Energies are from PBE-GGA.

Values from the calculation:
space-group type: Pm-3m

Lattice parameters (Å, degrees): 6.016 6.016 6.016 90.00 90.00 90.00
Fractional coordinates of all 5 atoms:
C (0.500, 0.500, 0.500)
Na (0.500, 0.000, 0.000)
Na (0.000, 0.000, 0.500)
Na (0.000, 0.500, 0.000)
Mo (0.000, 0.000, 0.000)

Least stable structure: *b*

*a*
Here is a geometry-optimized NaMo3C structure from Alexandria. Energies are from PBE-GGA.

Values from the calculation:
space-group type: Pm-3m

Lattice parameters (Å, degrees): 4.492 4.492 4.492 90.00 90.00 90.00
Fractional coordinates of all 5 atoms:
Na (0.000, 0.000, 0.000)
C (0.500, 0.500, 0.500)
Mo (0.000, 0.500, 0.000)
Mo (0.500, 0.000, 0.000)
Mo (0.000, 0.000, 0.500)

*b*
Here is a geometry-optimized NaMo3C structure from Alexandria. Energies are from PBE-GGA.

Values from the calculation:
space-group type: Pm-3m

Lattice parameters (Å, degrees): 4.222 4.222 4.222 90.00 90.00 90.00
Fractional coordinates of all 5 atoms:
Mo (0.500, 0.000, 0.000)
Mo (0.000, 0.500, 0.000)
Mo (0.000, 0.000, 0.500)
C (0.000, 0.000, 0.000)
Na (0.500, 0.500, 0.500)

Least stable structure: *a*

*a*
Here is a geometry-optimized NaMoC2 structure from Alexandria. Energies are from PBE-GGA.

Values from the calculation:
space-group type: I-42d

Lattice parameters (Å, degrees): 5.489 5.489 6.099 63.26 63.26 90.00
Fractional coordinates of all 8 atoms:
Mo (0.750, 0.250, 0.500)
Mo (0.000, 0.000, 0.000)
C (0.375, 0.256, 0.750)
C (0.875, 0.994, 0.750)
C (0.006, 0.625, 0.250)
C (0.744, 0.125, 0.250)
Na (0.500, 0.500, 0.000)
Na (0.250, 0.750, 0.500)

*b*
Here is a geometry-optimized NaMoC2 structure from Alexandria. Energies are from PBE-GGA.

Values from the calculation:
space-group type: Fm-3m

Lattice parameters (Å, degrees): 3.900 3.900 3.900 60.00 60.00 60.00
Fractional coordinates of all 4 atoms:
C (0.750, 0.750, 0.750)
C (0.250, 0.250, 0.250)
Na (0.000, 0.000, 0.000)
Mo (0.500, 0.500, 0.500)

Least stable structure: *b*

*a*
Here is a geometry-optimized NaMoC3 structure from Alexandria. Energies are from PBE-GGA.

Values from the calculation:
space-group type: Pm-3m

Lattice parameters (Å, degrees): 4.160 4.160 4.160 90.00 90.00 90.00
Fractional coordinates of all 5 atoms:
Mo (0.000, 0.000, 0.000)
C (0.000, 0.500, 0.000)
C (0.000, 0.000, 0.500)
C (0.500, 0.000, 0.000)
Na (0.500, 0.500, 0.500)

*b*
Here is a geometry-optimized NaMoC3 structure from Alexandria. Energies are from PBE-GGA.

Values from the calculation:
space-group type: Pm-3m

Lattice parameters (Å, degrees): 3.945 3.945 3.945 90.00 90.00 90.00
Fractional coordinates of all 5 atoms:
Na (0.000, 0.000, 0.000)
C (0.000, 0.500, 0.000)
C (0.000, 0.000, 0.500)
C (0.500, 0.000, 0.000)
Mo (0.500, 0.500, 0.500)

Least stable structure: *b*